1.
Entry from Alexandria: a PBEsol-optimized structure of Li4MnCo2NiO8 (SCAN).

Unit cell a=2.8233 b=4.9442 c=9.8457 alpha=99.51 beta=90.00 gamma=106.59
With the nearest neighbours (Å) after each atom.
Sites, in units of the cell vectors:
Mn 0.7496 0.4993 0.6252  6 O 1.87-1.95
O 0.3673 0.7346 0.5743  2 Mn 1.92, 3 Li 2.01-2.11, 1 Ni 2.08
O 0.6438 0.2875 0.9378  3 Co 1.90-1.92, 1 Li 2.05
O 0.1392 0.2784 0.1798  2 Co 1.90, 3 Li 1.99-2.11, 1 Ni 2.03
O 0.1393 0.2787 0.6915  1 Co 1.93, 2 Mn 1.94, 2 Li 2.09
O 0.6323 0.2645 0.4519  1 Mn 1.87, 2 Li 2.00, 2 Ni 2.03
O 0.3567 0.7134 0.0558  3 Co 1.89-1.92, 2 Li 2.08
O 0.8603 0.7206 0.8111  2 Co 1.92, 1 Mn 1.95, 3 Li 2.09-2.12
O 0.8613 0.7225 0.3008  1 Co 1.89, 2 Ni 1.97, 3 Li 2.06-2.07
Ni 0.2512 0.5023 0.3752  6 O 1.97-2.08
Co 0.2503 0.5006 0.8750  6 O 1.89-1.93
Co 0.7500 0.5000 0.1221  6 O 1.89-1.92
Li 0.9949 0.9898 0.4909  6 O 2.00-2.20
Li 0.5024 0.0049 0.7556  6 O 2.01-2.09
Li 0.5018 0.0035 0.2490  6 O 2.06-2.16
Li 0.9997 0.9993 0.0040  6 O 1.99-2.14

## Properties
Offset from the most stable computed form: 0 meV per atom
Uncorrected formation energy: -1942 meV/atom


2.
Entry from Alexandria: a PBEsol-optimized structure of Li2Cu2P4O13 (SCAN).

Unit cell a=4.6766 b=8.3451 c=11.6458 alpha=90.00 beta=95.52 gamma=90.00
With the nearest neighbours (Å) after each atom.
Sites, in units of the cell vectors:
O 0.4917 0.2500 0.1430  2 P 1.61-1.63
O 0.2175 0.4043 0.4781  1 P 1.49
O 0.8873 0.0949 0.2542  1 P 1.51
O 0.2231 0.2500 0.6944  1 P 1.51
O 0.6763 0.7500 0.0676  1 P 1.49
O 0.8873 0.4051 0.2542  1 P 1.51
O 0.4556 0.7500 0.6396  2 P 1.54-1.61
O 0.7825 0.5957 0.5219  1 P 1.49
O 0.7840 0.4025 0.0073  1 P 1.56
O 0.5444 0.2500 0.3604  2 P 1.54-1.61
O 0.6438 0.2500 0.5750  2 P 1.62-1.69
O 0.7840 0.0975 0.0073  1 P 1.56
O 0.6849 0.4042 0.7598  1 P 1.53
O 0.3151 0.9042 0.2402  1 P 1.53
O 0.3562 0.7500 0.4250  2 P 1.62-1.69
O 0.1127 0.5949 0.7458  1 P 1.51
O 0.2175 0.0957 0.4781  1 P 1.49
O 0.2160 0.9025 0.9927  1 P 1.56
O 0.5083 0.7500 0.8570  2 P 1.61-1.63
O 0.3151 0.5958 0.2402  1 P 1.53
O 0.7825 0.9043 0.5219  1 P 1.49
O 0.6849 0.0958 0.7598  1 P 1.53
O 0.7769 0.7500 0.3056  1 P 1.51
O 0.2160 0.5975 0.9927  1 P 1.56
O 0.3237 0.2500 0.9324  1 P 1.49
O 0.1127 0.9051 0.7458  1 P 1.51
P 0.2792 0.7500 0.7448  4 O 1.51-1.61
P 0.6232 0.7500 0.5249  4 O 1.49-1.62
P 0.4537 0.7500 0.2890  3 O 1.51-1.53
P 0.5911 0.2500 0.0125  4 O 1.49-1.63
P 0.7208 0.2500 0.2552  4 O 1.51-1.61
P 0.3768 0.2500 0.4751  4 O 1.49-1.62
P 0.5463 0.2500 0.7110  3 O 1.51-1.53
P 0.4089 0.7500 0.9875  4 O 1.49-1.63
Cu 0.9736 0.0212 0.8728  4 O 1.90-1.98
Cu 0.0264 0.5212 0.1272  4 O 1.90-1.98
Cu 0.0264 0.9788 0.1272  4 O 1.90-1.98
Cu 0.9736 0.4788 0.8728  4 O 1.90-1.98
Li 0.0071 0.5615 0.3844  4 O 1.92-2.07
Li 0.9929 0.0615 0.6156  4 O 1.92-2.07
Li 0.9929 0.4385 0.6156  4 O 1.92-2.07
Li 0.0071 0.9385 0.3844  4 O 1.92-2.07

## Properties
Uncorrected formation energy: -2149 meV/atom


3.
Entry from Alexandria: a PBEsol-optimized structure of MgH2SeO5 (SCAN).

Unit cell a=5.3544 b=5.3544 c=7.6399 alpha=106.65 beta=106.65 gamma=100.27
With the nearest neighbours (Å) after each atom.
Sites, in units of the cell vectors:
Mg 0.5000 0.0000 0.0000  6 O 2.02-2.17
Mg 0.0000 0.5000 0.5000  6 O 2.02-2.17
Se 0.5819 0.4181 0.7500  4 O 1.65-1.67
Se 0.4181 0.5819 0.2500  4 O 1.65-1.67
H 0.9644 0.8620 0.7960  1 O 1.01
H 0.1380 0.0356 0.7040  1 O 1.01
H 0.0356 0.1380 0.2040  1 O 1.01
H 0.8620 0.9644 0.2960  1 O 1.01
O 0.3165 0.7056 0.0764  1 Se 1.65
O 0.1245 0.8755 0.7500  2 H 1.01
O 0.8755 0.1245 0.2500  2 H 1.01
O 0.7056 0.3165 0.5764  1 Se 1.65
O 0.7582 0.6872 0.3457  1 Se 1.67, 1 H 1.68
O 0.2944 0.6835 0.4236  1 Se 1.65
O 0.6872 0.7582 0.8457  1 Se 1.67, 1 H 1.68
O 0.3128 0.2418 0.1543  1 Se 1.67, 1 H 1.68
O 0.6835 0.2944 0.9236  1 Se 1.65
O 0.2418 0.3128 0.6543  1 Se 1.67, 1 H 1.68

## Properties
E_tot: -8.4611 eV per atom


4.
Entry from Alexandria: a PBEsol-optimized structure of Mn2TlCr (SCAN).

Unit cell a=2.9300 b=2.9300 c=8.2805 alpha=79.81 beta=79.81 gamma=60.00
With the nearest neighbours (Å) after each atom.
Sites, in units of the cell vectors:
Mn 0.2634 0.2634 0.2097  3 Cr 2.40
Mn 0.7366 0.7366 0.7903  3 Cr 2.40
Tl 0.5000 0.5000 0.5000  6 Mn 2.90, 6 Tl 2.93
Cr 0.0000 0.0000 0.0000  6 Mn 2.40

## Properties
Calculated formation energy: 0.28 eV/atom
Offset from the most stable computed form: 163 meV per atom


5.
Entry from Alexandria: a PBEsol-optimized structure of LaPdRuC2 (SCAN).

Unit cell a=3.8927 b=3.8927 c=5.7075 alpha=90.00 beta=90.00 gamma=90.00
With the nearest neighbours (Å) after each atom.
Sites, in units of the cell vectors:
Ru 0.5000 0.5000 0.5000  4 La 2.75
C 0.0000 0.5000 0.0000  2 Pd 1.95
C 0.5000 0.0000 0.0000  2 Pd 1.95
La 0.0000 0.0000 0.5000  4 Ru 2.75, 2 Pd 2.85
Pd 0.0000 0.0000 0.0000  4 C 1.95

## Properties
Calculated formation energy: 1.77 eV/atom


6.
Entry from Alexandria: a PBEsol-optimized structure of YZn2Ir (SCAN).

Unit cell a=3.2222 b=3.2235 c=6.6403 alpha=90.00 beta=90.00 gamma=90.00
With the nearest neighbours (Å) after each atom.
Sites, in units of the cell vectors:
Zn 0.0000 0.0000 0.0535  4 Zn 2.66, 1 Ir 2.71
Zn 0.5000 0.5000 0.2596  4 Ir 2.64, 4 Zn 2.66
Y 0.5000 0.5000 0.7259  4 Ir 2.88, 5 Zn 3.10-3.15, 4 Y 3.22
Ir 0.0000 0.0000 0.4610  5 Zn 2.64-2.71, 4 Y 2.88

## Properties
Calculated formation energy: -0.40 eV/atom


no.,total magnetic moment (μB per formula unit)
1,4.68
2,1.97
3,0.00
4,4.38
5,0.00
6,0.00